YTaBr4 | GGA-PBE | relaxed

```
data_YTaBr4
_cell_length_a 6.159
_cell_length_b 6.159
_cell_length_c 6.159
_cell_angle_alpha 60.00
_cell_angle_beta 60.00
_cell_angle_gamma 60.00
_symmetry_space_group_name_H-M 'P 1'
_symmetry_Int_Tables_number 1
_symmetry_space_group_name_Hall 'P 1'
loop_
_atom_site_label
_atom_site_fract_x
_atom_site_fract_y
_atom_site_fract_z
Y1 0.000 0.000 0.000
Ta1 0.250 0.250 0.250
Br1 0.125 0.625 0.625
Br2 0.625 0.125 0.625
Br3 0.625 0.625 0.125
Br4 0.625 0.625 0.625
```

Properties
**Spin magnetization**: 4.46 μB/f.u.
**VASP energy**: -20.46 eV/cell